A geometry-optimized MoIrPd structure, computed with GGA-PBE.

a = 4.411 Å, b = 4.411 Å, c = 2.712 Å
α = 90.00°, β = 90.00°, γ = 120.00°
Element x y z (fractional)
Mo 0.000 0.000 0.000
Ir 0.667 0.333 0.500
Pd 0.333 0.667 0.000

## Properties
**DFT formation energy**: 0.022 eV/atom
**Energy**: -8.27 eV/atom
**N(E_F)**: 2.74 states/eV per cell
**Space-group type**: P-6m2 (187)